Cs2FeOF6 | PBE+U | optimized geometry

Unit cell a=6.2660 b=6.2660 c=6.2660 alpha=112.22 beta=112.22 gamma=104.09
Fractional coordinates of all 10 atoms:
Cs 0.2500 0.7500 0.5000
Cs 0.7500 0.2500 0.5000
Fe 0.0000 0.0000 0.0000
O 0.5000 0.5000 0.0000
F 0.1930 0.1930 0.3859
F 0.1930 0.8070 0.0000
F 0.2769 0.2769 0.0000
F 0.7231 0.7231 0.0000
F 0.8070 0.1930 0.0000
F 0.8070 0.8070 0.6141

Output
space group: No. 139
DOS at the Fermi energy: 0.8 states/eV/f.u.
uncorrected energy: -4.2949 eV per atom